Below is an optimized crystal structure of PdSe2Br, with properties calculated at the GGA-PBE level.

a = 8.7460 Å, b = 8.7460 Å, c = 6.8145 Å
α = 50.08°, β = 50.08°, γ = 90.00°
With the nearest neighbours (Å) after each atom.
Positions (direct):
Se1 0.8434 0.3434 0.0000  2 Pd 2.41
Se2 0.1566 0.6566 0.0000  2 Pd 2.41
Se3 0.3434 0.1566 0.0000  2 Pd 2.41
Se4 0.6566 0.8434 0.0000  2 Pd 2.41
Br1 0.7500 0.7500 0.5000  2 Br 2.86
Br2 0.2500 0.2500 0.5000  2 Br 2.86
Pd1 0.7500 0.2500 0.5000  4 Se 2.41
Pd2 0.2500 0.7500 0.5000  4 Se 2.41

Output
Energy above the lowest structure with this stoichiometry   485 meV/atom
Total magnetization   0.000 μB/atom
Raw formation energy   0.91 eV/f.u.
Symmetry   I4/mcm, No. 140

Below is an optimized crystal structure of Pd2Se4Br, with properties calculated at the GGA-PBE level.

a = 7.4706 Å, b = 7.4708 Å, c = 8.1338 Å
α = 116.53°, β = 117.15°, γ = 90.97°
With the nearest neighbours (Å) after each atom.
Positions (direct):
Pd1 0.6250 0.3750 0.7500  6 Se 2.54-2.63
Pd2 0.6250 0.8750 0.2500  6 Se 2.54-2.63
Pd3 0.6250 0.3750 0.2500  6 Se 2.55-2.63
Pd4 0.1250 0.3750 0.7500  6 Se 2.55-2.63
Se1 0.8909 0.1652 0.3289  3 Pd 2.55-2.63
Se2 0.3591 0.5848 0.1711  3 Pd 2.55-2.63
Se3 0.8362 0.5619 0.6711  3 Pd 2.55-2.63
Se4 0.8302 0.1141 0.6705  3 Pd 2.54-2.63, 1 Br 2.63
Se5 0.4435 0.1597 0.3295  3 Pd 2.54-2.63, 1 Br 2.63
Se6 0.4138 0.1881 0.8289  3 Pd 2.55-2.63
Se7 0.4198 0.6360 0.8295  3 Pd 2.54-2.63, 1 Br 2.63
Se8 0.8065 0.5903 0.1705  3 Pd 2.54-2.63, 1 Br 2.63
Br1 0.1798 0.6798 0.5000  2 Se 2.63
Br2 0.0702 0.0702 0.0000  2 Se 2.63

Output
Total magnetization   0.000 μB/atom
Raw formation energy   -1.09 eV/f.u.
Symmetry   C2/c, No. 15

Below is an optimized crystal structure of PdSe2Br, with properties calculated at the GGA-PBE level.

a = 8.2119 Å, b = 5.8789 Å, c = 5.8789 Å
α = 82.44°, β = 118.33°, γ = 61.67°
With the nearest neighbours (Å) after each atom.
Positions (direct):
Se1 0.0296 0.3218 0.9059  1 Se 2.45, 2 Pd 2.58-2.62
Se2 0.4704 0.4059 0.8218  1 Se 2.45, 2 Pd 2.58-2.62
Se3 0.9704 0.6782 0.0941  1 Se 2.45, 2 Pd 2.58-2.62
Se4 0.5296 0.5941 0.1782  1 Se 2.45, 2 Pd 2.58-2.62
Br1 0.7500 0.9042 0.4042  1 Pd 2.53
Br2 0.2500 0.0958 0.5958  1 Pd 2.53
Pd1 0.7500 0.1903 0.6903  1 Br 2.53, 4 Se 2.58-2.62
Pd2 0.2500 0.8097 0.3097  1 Br 2.53, 4 Se 2.58-2.62

Output
Energy above the lowest structure with this stoichiometry   231 meV/atom
Total magnetization   0.000 μB/atom
Raw formation energy   -0.11 eV/f.u.
Symmetry   C2/c, No. 15

Below is an optimized crystal structure of PdSe2Br, with properties calculated at the GGA-PBE level.

a = 5.4480 Å, b = 5.4480 Å, c = 7.0686 Å
α = 67.33°, β = 67.33°, γ = 90.00°
With the nearest neighbours (Å) after each atom.
Positions (direct):
Se1 0.7897 0.7897 0.4205  3 Pd 2.49-2.76, 2 Br 2.76
Se2 0.9603 0.4603 0.0795  3 Pd 2.49-2.76, 2 Br 2.76
Se3 0.2103 0.2103 0.5795  3 Pd 2.49-2.76, 2 Br 2.76
Se4 0.5397 0.0397 0.9205  3 Pd 2.49-2.76, 2 Br 2.76
Br1 0.5000 0.5000 0.0000  4 Se 2.76
Br2 0.2500 0.7500 0.5000  4 Se 2.76
Pd1 0.0000 0.0000 0.0000  6 Se 2.49-2.76
Pd2 0.7500 0.2500 0.5000  6 Se 2.49-2.76

Output
Energy above the lowest structure with this stoichiometry   226 meV/atom
Total magnetization   0.000 μB/atom
Raw formation energy   -0.13 eV/f.u.
Symmetry   I4_1/amd, No. 141

Below is an optimized crystal structure of PdSe2Br, with properties calculated at the GGA-PBE level.

a = 7.2394 Å, b = 3.8876 Å, c = 13.1198 Å
α = 90.00°, β = 90.00°, γ = 90.00°
With the nearest neighbours (Å) after each atom.
Positions (direct):
Se1 0.8282 0.2500 0.5006  3 Pd 2.50-2.66
Se2 0.6718 0.7500 0.0006  3 Pd 2.50-2.66
Se3 0.1718 0.7500 0.4994  3 Pd 2.50-2.66
Se4 0.3282 0.2500 0.9994  3 Pd 2.50-2.66
Se5 0.3992 0.2500 0.7099  2 Pd 2.51-2.52
Se6 0.1008 0.7500 0.2099  2 Pd 2.51-2.52
Se7 0.6008 0.7500 0.2901  2 Pd 2.51-2.52
Se8 0.8992 0.2500 0.7901  2 Pd 2.51-2.52
Br1 0.3936 0.2500 0.3977  4 Se 2.83-2.85
Br2 0.1064 0.7500 0.8977  4 Se 2.83-2.85
Br3 0.6064 0.7500 0.6023  4 Se 2.83-2.85
Br4 0.8936 0.2500 0.1023  4 Se 2.83-2.85
Pd1 0.0837 0.2500 0.6285  5 Se 2.50-2.66
Pd2 0.4163 0.7500 0.1285  5 Se 2.50-2.66
Pd3 0.9163 0.7500 0.3715  5 Se 2.50-2.66
Pd4 0.5837 0.2500 0.8715  5 Se 2.50-2.66

Output
Energy above the lowest structure with this stoichiometry   332 meV/atom
Total magnetization   0.000 μB/atom
Raw formation energy   0.30 eV/f.u.
Symmetry   Pnma, No. 62

Below is an optimized crystal structure of PdSe2Br, with properties calculated at the GGA-PBE level.

a = 7.2247 Å, b = 7.9706 Å, c = 7.9706 Å
α = 33.36°, β = 97.42°, γ = 82.58°
With the nearest neighbours (Å) after each atom.
Positions (direct):
Se1 0.3542 0.1389 0.1981  1 Se 2.31, 1 Pd 2.55
Se2 0.1458 0.6981 0.6389  1 Se 2.31, 1 Pd 2.55
Se3 0.6458 0.8611 0.8019  1 Se 2.31, 1 Pd 2.55
Se4 0.8542 0.3019 0.3611  1 Se 2.31, 1 Pd 2.55
Br1 0.7500 0.3469 0.8469  2 Pd 2.75
Br2 0.2500 0.6531 0.1531  2 Pd 2.75
Pd1 0.7500 0.9469 0.4469  4 Se 2.55-2.60, 2 Br 2.75
Pd2 0.2500 0.0531 0.5531  4 Se 2.55-2.60, 2 Br 2.75

Output
Energy above the lowest structure with this stoichiometry   113 meV/atom
Total magnetization   0.000 μB/atom
Raw formation energy   -0.58 eV/f.u.
Symmetry   C2/c, No. 15

Below is an optimized crystal structure of PdSeBr2, with properties calculated at the GGA-PBE level.

a = 12.6005 Å, b = 12.6005 Å, c = 12.6005 Å
α = 14.00°, β = 14.00°, γ = 14.00°
With the nearest neighbours (Å) after each atom.
Positions (direct):
Se1 0.5000 0.5000 0.5000  6 Se 3.07
Br1 0.9356 0.9356 0.9356  1 Pd 2.41
Br2 0.0644 0.0644 0.0644  1 Pd 2.41
Pd1 0.0000 0.0000 0.0000  2 Br 2.41

Output
Total magnetization   0.000 μB/atom
Raw formation energy   1.45 eV/f.u.
Symmetry   R-3m, No. 166

Below is an optimized crystal structure of PdSe2Br, with properties calculated at the GGA-PBE level.

a = 7.7507 Å, b = 3.8865 Å, c = 3.8865 Å
α = 121.35°, β = 111.35°, γ = 68.65°
With the nearest neighbours (Å) after each atom.
Positions (direct):
Se1 0.8233 0.7626 0.2374  3 Pd 2.51-2.57
Se2 0.1767 0.2374 0.7626  3 Pd 2.51-2.57
Br1 0.5000 0.5000 0.5000  4 Se 3.02
Pd1 0.0000 0.0000 0.0000  6 Se 2.51-2.57

Output
Energy above the lowest structure with this stoichiometry   74 meV/atom
Total magnetization   0.000 μB/atom
Raw formation energy   -0.73 eV/f.u.
Symmetry   C2/m, No. 12

What is the total magnetization in the fourth record? 0.000 μB/atom